Below is a relaxed structure of CaAl5Ag3, with properties calculated at the PBE level.

Cell and atoms, written as CIF:
```
data_CaAl5Ag3
_symmetry_space_group_name_H-M 'C m c m'
_symmetry_Int_Tables_number 63
_symmetry_space_group_name_Hall '-C 2c 2'
_cell_length_a 4.0529
_cell_length_b 13.3690
_cell_length_c 13.2756
_cell_angle_alpha 90.00
_cell_angle_beta 90.00
_cell_angle_gamma 90.00
loop_
_atom_site_label
_atom_site_type_symbol
_atom_site_fract_x
_atom_site_fract_y
_atom_site_fract_z
Ca1 Ca 0.0000 0.1393 0.2500
Al1 Al 0.0000 0.0000 0.0000
Al2 Al 0.0000 0.1939 0.5584
Al3 Al 0.0000 0.4353 0.1479
Ag1 Ag 0.0000 0.1531 0.7500
Ag2 Ag 0.0000 0.3852 0.5608
```

Values from the calculation:
Electronic total energy = -3.381 eV/atom
Magnetization = 0.000 Bohr magnetons per cell


Below is a relaxed structure of ScCu4Sn, with properties calculated at the PBE level.

Cell and atoms, written as CIF:
```
data_ScCu4Sn
_symmetry_space_group_name_H-M 'F -4 3 m'
_symmetry_Int_Tables_number 216
_symmetry_space_group_name_Hall 'F -4 2 3'
_cell_length_a 7.1183
_cell_length_b 7.1183
_cell_length_c 7.1183
_cell_angle_alpha 90.00
_cell_angle_beta 90.00
_cell_angle_gamma 90.00
loop_
_atom_site_label
_atom_site_type_symbol
_atom_site_fract_x
_atom_site_fract_y
_atom_site_fract_z
Sc1 Sc 0.0000 0.0000 0.0000
Cu1 Cu 0.1256 0.1256 0.6256
Sn1 Sn 0.2500 0.2500 0.2500
```

Values from the calculation:
Electronic total energy = -4.667 eV/atom
Magnetization = 0.000 Bohr magnetons per cell


Below is a relaxed structure of Sr2IrPbC, with properties calculated at the PBE level.

Cell and atoms, written as CIF:
```
data_Sr2IrPbC
_symmetry_space_group_name_H-M 'P 4/m m m'
_symmetry_Int_Tables_number 123
_symmetry_space_group_name_Hall '-P 4 2'
_cell_length_a 5.6619
_cell_length_b 5.6619
_cell_length_c 3.8995
_cell_angle_alpha 90.00
_cell_angle_beta 90.00
_cell_angle_gamma 90.00
loop_
_atom_site_label
_atom_site_type_symbol
_atom_site_fract_x
_atom_site_fract_y
_atom_site_fract_z
Sr1 Sr 0.0000 0.5000 0.0000
Ir1 Ir 0.0000 0.0000 0.5000
Pb1 Pb 0.5000 0.5000 0.5000
C1 C 0.0000 0.0000 0.0000
```

Values from the calculation:
Electronic total energy = -5.233 eV/atom
Magnetization = 0.000 Bohr magnetons per cell


Below is a relaxed structure of ErTm2AgHg4, with properties calculated at the PBE level.

Cell and atoms, written as CIF:
```
data_ErTm2AgHg4
_symmetry_space_group_name_H-M 'R -3 m'
_symmetry_Int_Tables_number 166
_symmetry_space_group_name_Hall '-R 3 2"'
_cell_length_a 5.0718
_cell_length_b 5.0718
_cell_length_c 25.4609
_cell_angle_alpha 90.00
_cell_angle_beta 90.00
_cell_angle_gamma 120.00
loop_
_atom_site_label
_atom_site_type_symbol
_atom_site_fract_x
_atom_site_fract_y
_atom_site_fract_z
Er1 Er 0.0000 0.0000 0.0000
Tm1 Tm 0.0000 0.0000 0.2430
Ag1 Ag 0.0000 0.0000 0.5000
Hg1 Hg 0.0000 0.0000 0.1236
Hg2 Hg 0.0000 0.0000 0.3731
```

Values from the calculation:
Electronic total energy = -2.580 eV/atom
Magnetization = 0.000 Bohr magnetons per cell


Number 1: formation energy from the elements -0.13 eV per atom. Number 2: formation energy from the elements -0.21 eV per atom. Number 3: formation energy from the elements -0.20 eV per atom. Number 4: formation energy from the elements -0.38 eV per atom.